[1]
Density functional theory data (GGA-PBE) for a relaxed KCdAs2N crystal.

The crystal system is tetragonal. The value obtained for the uncorrected formation energy is 1.520 eV/atom.

It has space group P4/mmm (No. 123), with a = 5.0495 Å, b = 5.0495 Å, c = 6.7558 Å, α = 90.00°, β = 90.00° and γ = 90.00°. The distinct sites, in fractional coordinates, are K at (0.0000, 0.0000, 0.0000), Cd at (0.0000, 0.0000, 0.5000), As at (0.0000, 0.5000, 0.5000) and N at (0.5000, 0.5000, 0.0000).

[2]
Density functional theory data (GGA-PBE) for a relaxed TcSnPO2 crystal.

For the distance to the lowest polymorph of the same formula, the calculation gives 16.92 kcal/mol of atoms. The crystal system is tetragonal. The value obtained for the uncorrected formation energy is 0.083 eV/atom.

It has space group P4/mmm (No. 123), with a = 3.8929 Å, b = 3.8929 Å, c = 5.5904 Å, α = 90.00°, β = 90.00° and γ = 90.00°. The distinct sites, in fractional coordinates, are Tc at (0.0000, 0.0000, 0.0000), Sn at (0.5000, 0.5000, 0.5000), P at (0.5000, 0.5000, 0.0000) and O at (0.0000, 0.5000, 0.5000).

[3]
Density functional theory data (GGA-PBE) for a relaxed Ca2TePtN crystal.

The crystal system is tetragonal. The value obtained for the uncorrected formation energy is -0.980 eV/atom.

It has space group P4/mmm (No. 123), with a = 5.2619 Å, b = 5.2619 Å, c = 3.8965 Å, α = 90.00°, β = 90.00° and γ = 90.00°. The distinct sites, in fractional coordinates, are Ca at (0.0000, 0.5000, 0.0000), Te at (0.0000, 0.0000, 0.5000), Pt at (0.5000, 0.5000, 0.5000) and N at (0.5000, 0.5000, 0.0000).

[4]
Density functional theory data (GGA-PBE) for a relaxed Al8GaPd2 crystal.

The crystal system is triclinic. The energy of formation from the pure elements comes out at -0.3210 eV/atom.

It has space group P-1 (No. 2), with a = 4.8380 Å, b = 5.1180 Å, c = 8.0927 Å, α = 108.22°, β = 107.20° and γ = 90.09°. The distinct sites, in fractional coordinates, are Al at (0.1008, 0.1009, 0.2018), Al at (0.2516, 0.4521, 0.0001), Al at (0.3108, 0.5637, 0.6275), Al at (0.3167, 0.0644, 0.6283), Ga at (0.5000, 0.0000, 0.0000) and Pd at (0.1548, 0.6547, 0.3100).